Record 1
Sm2PBrCl: optimized geometry, GGA-PBE.

Total energy ... -27.70 eV per cell
Volume ... 29.3 Å³ per atom

abc: 4.067 4.067 10.221
angles: 90.00 90.00 120.00
Fractional coordinates of all 5 atoms:
Sm1 0.000 0.000 0.842
Cl1 0.667 0.333 0.680
Br1 0.000 0.000 0.333
Sm2 0.667 0.333 0.150
P1 0.333 0.667 0.996


Record 2
Li2TeMo: optimized geometry, GGA-PBE.

Total energy ... -17.27 eV per cell
Volume ... 16.0 Å³ per atom

abc: 4.491 4.491 4.491
angles: 60.00 60.00 60.00
Fractional coordinates of all 4 atoms:
Mo1 0.500 0.500 0.500
Li1 0.250 0.250 0.250
Li2 0.000 0.000 0.000
Te1 0.750 0.750 0.750


Record 3
Hf4AsPbC2: optimized geometry, GGA-PBE.

Total energy ... -73.13 eV per cell
Volume ... 17.0 Å³ per atom

abc: 3.400 3.400 13.614
angles: 90.00 90.00 120.00
Fractional coordinates of all 8 atoms:
C1 0.333 0.667 0.231
Hf1 0.000 0.000 0.140
Hf2 0.000 0.000 0.860
Pb1 0.000 0.000 0.500
C2 0.333 0.667 0.769
As1 0.667 0.333 0.000
Hf3 0.667 0.333 0.682
Hf4 0.667 0.333 0.318


Record 4
Tm: optimized geometry, GGA-PBE.

Total energy ... -4.33 eV per cell
Energy relative to the elements ... 143 meV per atom
Volume ... 30.1 Å³ per atom
Relative energy among the computed polymorphs ... 143 meV per atom

abc: 3.395 3.395 3.395
angles: 109.47 109.47 109.47
Each line ends with the local moment (μB).
Fractional coordinates of all 1 atoms:
Tm1 0.000 0.000 0.000  0.05


Record 5
ZrAlSnSe3: optimized geometry, GGA-PBE.

Total energy ... -60.74 eV per cell
Volume ... 23.3 Å³ per atom

abc: 8.022 8.022 9.835
angles: 90.00 90.00 153.81
Fractional coordinates of all 12 atoms:
Al1 0.037 0.963 0.750
Zr1 0.500 0.500 0.000
Se1 0.867 0.133 0.451
Se2 0.133 0.867 0.951
Zr2 0.500 0.500 0.500
Se3 0.867 0.133 0.049
Se4 0.418 0.582 0.750
Se5 0.133 0.867 0.549
Sn1 0.240 0.760 0.250
Sn2 0.760 0.240 0.750
Al2 0.963 0.037 0.250
Se6 0.582 0.418 0.250


Record 6
Ga2BMo: optimized geometry, GGA-PBE.

Total energy ... -20.13 eV per cell
Volume ... 13.7 Å³ per atom

abc: 4.263 4.263 4.263
angles: 60.00 60.00 60.00
Fractional coordinates of all 4 atoms:
B1 0.750 0.750 0.750
Ga1 0.250 0.250 0.250
Ga2 0.500 0.500 0.500
Mo1 0.000 0.000 0.000